A relaxed structure of LiMoO2. Source: Alexandria, functional PBE+U.

Lattice parameters (Å, degrees): 10.5491 3.1161 4.9895 90.00 99.20 90.00
Space group C2/m (No. 12)
Unique sites:
Li  0.0000  0.0000  0.0000 x2
Li  0.0000  0.5000  0.5000 x2
Mo  0.2469  0.0000  0.7831 x4
O  0.1141  0.5000  0.8565 x4
O  0.1411  0.0000  0.3691 x4

Computed properties:
E (eV for the cell shown): -101.1